# 1
# Li4CdAu PBE optimized geometry
# Crystal system = monoclinic
# DFT total energy = -2.285 eV/atom
# Distance to the lowest polymorph of the same formula = 6 meV per atom
data_Li4CdAu
_cell_length_a 2.915
_cell_length_b 4.498
_cell_length_c 7.740
_cell_angle_alpha 90.00
_cell_angle_beta 90.07
_cell_angle_gamma 90.00
_space_group_name_H-M_alt 'P 1'
_space_group_IT_number 1
loop_
_space_group_symop_operation_xyz
'x,y,z'
loop_
_atom_site_label
_atom_site_type_symbol
_atom_site_fract_x
_atom_site_fract_y
_atom_site_fract_z
_atom_site_occupancy
Li1 Li 0.000 0.000 0.000 1
Li2 Li 0.000 0.500 0.444 1
Li3 Li 0.502 0.000 0.305 1
Li4 Li 0.999 0.500 0.811 1
Cd1 Cd 0.497 0.000 0.659 1
Au1 Au 0.500 0.500 0.122 1

---

# 2
# Li2CdAu8 PBE optimized geometry
# Crystal system = orthorhombic
# DFT total energy = -3.054 eV/atom
data_Li2CdAu8
_cell_length_a 7.637
_cell_length_b 7.637
_cell_length_c 7.637
_cell_angle_alpha 147.15
_cell_angle_beta 124.89
_cell_angle_gamma 65.66
_space_group_name_H-M_alt 'P 1'
_space_group_IT_number 1
loop_
_space_group_symop_operation_xyz
'x,y,z'
loop_
_atom_site_label
_atom_site_type_symbol
_atom_site_fract_x
_atom_site_fract_y
_atom_site_fract_z
_atom_site_occupancy
Li1 Li 0.198 0.198 0.000 1
Li2 Li 0.802 0.802 0.000 1
Cd1 Cd 0.500 0.500 0.000 1
Au1 Au 0.056 0.347 0.709 1
Au2 Au 0.199 0.000 0.199 1
Au3 Au 0.340 0.840 0.500 1
Au4 Au 0.362 0.653 0.709 1
Au5 Au 0.638 0.347 0.291 1
Au6 Au 0.660 0.160 0.500 1
Au7 Au 0.801 0.000 0.801 1
Au8 Au 0.944 0.653 0.291 1

---

# 3
# Li4CdAu3 PBE optimized geometry
# Crystal system = orthorhombic
# DFT total energy = -2.785 eV/atom
# Distance to the lowest polymorph of the same formula = 0 meV per atom
data_Li4CdAu3
_cell_length_a 9.050
_cell_length_b 6.180
_cell_length_c 4.529
_cell_angle_alpha 90.00
_cell_angle_beta 90.00
_cell_angle_gamma 90.00
_space_group_name_H-M_alt 'P 1'
_space_group_IT_number 1
loop_
_space_group_symop_operation_xyz
'x,y,z'
loop_
_atom_site_label
_atom_site_type_symbol
_atom_site_fract_x
_atom_site_fract_y
_atom_site_fract_z
_atom_site_occupancy
Li1 Li 0.000 0.236 0.000 1
Li2 Li 0.000 0.764 0.000 1
Li3 Li 0.250 0.237 0.488 1
Li4 Li 0.250 0.763 0.488 1
Li5 Li 0.500 0.236 0.000 1
Li6 Li 0.500 0.764 0.000 1
Li7 Li 0.750 0.237 0.512 1
Li8 Li 0.750 0.763 0.512 1
Cd1 Cd 0.000 0.500 0.500 1
Cd2 Cd 0.500 0.500 0.500 1
Au1 Au 0.000 0.000 0.500 1
Au2 Au 0.250 0.000 0.987 1
Au3 Au 0.250 0.500 0.989 1
Au4 Au 0.500 0.000 0.500 1
Au5 Au 0.750 0.000 0.013 1
Au6 Au 0.750 0.500 0.011 1

---

# 4
# LiCd2Au PBE optimized geometry
# Crystal system = monoclinic
# DFT total energy = -2.008 eV/atom
# Distance to the lowest polymorph of the same formula = 85 meV per atom
data_LiCd2Au
_cell_length_a 5.065
_cell_length_b 5.065
_cell_length_c 5.347
_cell_angle_alpha 97.34
_cell_angle_beta 97.34
_cell_angle_gamma 33.98
_space_group_name_H-M_alt 'P 1'
_space_group_IT_number 1
loop_
_space_group_symop_operation_xyz
'x,y,z'
loop_
_atom_site_label
_atom_site_type_symbol
_atom_site_fract_x
_atom_site_fract_y
_atom_site_fract_z
_atom_site_occupancy
Li1 Li 0.000 0.000 0.000 1
Cd1 Cd 0.248 0.248 0.752 1
Cd2 Cd 0.752 0.752 0.248 1
Au1 Au 0.500 0.500 0.500 1

---

# 5
# LiCd6Au5 PBE optimized geometry
# Crystal system = monoclinic
# DFT total energy = -2.210 eV/atom
# Distance to the lowest polymorph of the same formula = 0 meV per atom
data_LiCd6Au5
_cell_length_a 8.088
_cell_length_b 8.088
_cell_length_c 4.591
_cell_angle_alpha 106.36
_cell_angle_beta 106.36
_cell_angle_gamma 115.01
_space_group_name_H-M_alt 'P 1'
_space_group_IT_number 1
loop_
_space_group_symop_operation_xyz
'x,y,z'
loop_
_atom_site_label
_atom_site_type_symbol
_atom_site_fract_x
_atom_site_fract_y
_atom_site_fract_z
_atom_site_occupancy
Li1 Li 0.000 0.000 0.000 1
Cd1 Cd 0.088 0.421 0.255 1
Cd2 Cd 0.261 0.261 0.761 1
Cd3 Cd 0.421 0.088 0.255 1
Cd4 Cd 0.579 0.912 0.745 1
Cd5 Cd 0.739 0.739 0.239 1
Cd6 Cd 0.912 0.579 0.745 1
Au1 Au 0.154 0.846 0.500 1
Au2 Au 0.325 0.675 0.000 1
Au3 Au 0.500 0.500 0.500 1
Au4 Au 0.675 0.325 0.000 1
Au5 Au 0.846 0.154 0.500 1

---

# 6
# LiCd3Au PBE optimized geometry
# Crystal system = monoclinic
# DFT total energy = -1.771 eV/atom
# Distance to the lowest polymorph of the same formula = 76 meV per atom
data_LiCd3Au
_cell_length_a 6.645
_cell_length_b 6.645
_cell_length_c 5.560
_cell_angle_alpha 107.72
_cell_angle_beta 107.72
_cell_angle_gamma 91.63
_space_group_name_H-M_alt 'P 1'
_space_group_IT_number 1
loop_
_space_group_symop_operation_xyz
'x,y,z'
loop_
_atom_site_label
_atom_site_type_symbol
_atom_site_fract_x
_atom_site_fract_y
_atom_site_fract_z
_atom_site_occupancy
Li1 Li 0.077 0.077 0.305 1
Li2 Li 0.923 0.923 0.695 1
Cd1 Cd 0.073 0.576 0.305 1
Cd2 Cd 0.416 0.416 0.686 1
Cd3 Cd 0.424 0.927 0.695 1
Cd4 Cd 0.576 0.073 0.305 1
Cd5 Cd 0.584 0.584 0.314 1
Cd6 Cd 0.927 0.424 0.695 1
Au1 Au 0.238 0.238 0.996 1
Au2 Au 0.762 0.762 0.004 1

---

# 7
# LiCd9Au2 PBE optimized geometry
# Crystal system = tetragonal
# DFT total energy = -1.456 eV/atom
data_LiCd9Au2
_cell_length_a 9.883
_cell_length_b 9.883
_cell_length_c 9.883
_cell_angle_alpha 95.26
_cell_angle_beta 95.26
_cell_angle_gamma 144.74
_space_group_name_H-M_alt 'P 1'
_space_group_IT_number 1
loop_
_space_group_symop_operation_xyz
'x,y,z'
loop_
_atom_site_label
_atom_site_type_symbol
_atom_site_fract_x
_atom_site_fract_y
_atom_site_fract_z
_atom_site_occupancy
Li1 Li 0.375 0.625 0.750 1
Li2 Li 0.625 0.375 0.250 1
Cd1 Cd 0.034 0.504 0.289 1
Cd2 Cd 0.034 0.745 0.530 1
Cd3 Cd 0.125 0.875 0.250 1
Cd4 Cd 0.255 0.285 0.289 1
Cd5 Cd 0.255 0.966 0.970 1
Cd6 Cd 0.285 0.255 0.789 1
Cd7 Cd 0.285 0.496 0.030 1
Cd8 Cd 0.496 0.285 0.530 1
Cd9 Cd 0.496 0.966 0.211 1
Cd10 Cd 0.504 0.034 0.789 1
Cd11 Cd 0.504 0.715 0.470 1
Cd12 Cd 0.715 0.504 0.970 1
Cd13 Cd 0.715 0.745 0.211 1
Cd14 Cd 0.745 0.034 0.030 1
Cd15 Cd 0.745 0.715 0.711 1
Cd16 Cd 0.875 0.125 0.750 1
Cd17 Cd 0.966 0.255 0.470 1
Cd18 Cd 0.966 0.496 0.711 1
Au1 Au 0.000 0.000 0.000 1
Au2 Au 0.000 0.000 0.500 1
Au3 Au 0.000 0.500 0.000 1
Au4 Au 0.500 0.000 0.500 1

---

# 8
# Li2Cd3Au3 PBE optimized geometry
# Crystal system = orthorhombic
# DFT total energy = -2.348 eV/atom
# Distance to the lowest polymorph of the same formula = 9 meV per atom
data_Li2Cd3Au3
_cell_length_a 5.443
_cell_length_b 5.443
_cell_length_c 13.938
_cell_angle_alpha 90.00
_cell_angle_beta 90.00
_cell_angle_gamma 132.54
_space_group_name_H-M_alt 'P 1'
_space_group_IT_number 1
loop_
_space_group_symop_operation_xyz
'x,y,z'
loop_
_atom_site_label
_atom_site_type_symbol
_atom_site_fract_x
_atom_site_fract_y
_atom_site_fract_z
_atom_site_occupancy
Li1 Li 0.240 0.760 0.636 1
Li2 Li 0.240 0.760 0.864 1
Li3 Li 0.760 0.240 0.136 1
Li4 Li 0.760 0.240 0.364 1
Cd1 Cd 0.379 0.621 0.059 1
Cd2 Cd 0.379 0.621 0.441 1
Cd3 Cd 0.480 0.520 0.750 1
Cd4 Cd 0.520 0.480 0.250 1
Cd5 Cd 0.621 0.379 0.559 1
Cd6 Cd 0.621 0.379 0.941 1
Au1 Au 0.087 0.913 0.080 1
Au2 Au 0.087 0.913 0.420 1
Au3 Au 0.234 0.766 0.250 1
Au4 Au 0.766 0.234 0.750 1
Au5 Au 0.913 0.087 0.580 1
Au6 Au 0.913 0.087 0.920 1

---

# 9
# Li2Cd2Au3 PBE optimized geometry
# Crystal system = monoclinic
# DFT total energy = -2.582 eV/atom
# Distance to the lowest polymorph of the same formula = 0 meV per atom
data_Li2Cd2Au3
_cell_length_a 5.097
_cell_length_b 5.097
_cell_length_c 6.601
_cell_angle_alpha 97.40
_cell_angle_beta 97.40
_cell_angle_gamma 47.46
_space_group_name_H-M_alt 'P 1'
_space_group_IT_number 1
loop_
_space_group_symop_operation_xyz
'x,y,z'
loop_
_atom_site_label
_atom_site_type_symbol
_atom_site_fract_x
_atom_site_fract_y
_atom_site_fract_z
_atom_site_occupancy
Li1 Li 0.208 0.208 0.162 1
Li2 Li 0.792 0.792 0.838 1
Cd1 Cd 0.078 0.078 0.726 1
Cd2 Cd 0.922 0.922 0.274 1
Au1 Au 0.355 0.355 0.580 1
Au2 Au 0.500 0.500 0.000 1
Au3 Au 0.645 0.645 0.420 1

---

# 10
# Li6Cd8Au PBE optimized geometry
# Crystal system = trigonal
# DFT total energy = -1.630 eV/atom
data_Li6Cd8Au
_cell_length_a 6.861
_cell_length_b 6.861
_cell_length_c 6.861
_cell_angle_alpha 75.50
_cell_angle_beta 75.50
_cell_angle_gamma 75.50
_space_group_name_H-M_alt 'P 1'
_space_group_IT_number 1
loop_
_space_group_symop_operation_xyz
'x,y,z'
loop_
_atom_site_label
_atom_site_type_symbol
_atom_site_fract_x
_atom_site_fract_y
_atom_site_fract_z
_atom_site_occupancy
Li1 Li 0.000 0.328 0.672 1
Li2 Li 0.000 0.672 0.328 1
Li3 Li 0.328 0.000 0.672 1
Li4 Li 0.328 0.672 0.000 1
Li5 Li 0.672 0.000 0.328 1
Li6 Li 0.672 0.328 0.000 1
Cd1 Cd 0.079 0.708 0.708 1
Cd2 Cd 0.292 0.292 0.921 1
Cd3 Cd 0.292 0.921 0.292 1
Cd4 Cd 0.382 0.382 0.382 1
Cd5 Cd 0.618 0.618 0.618 1
Cd6 Cd 0.708 0.079 0.708 1
Cd7 Cd 0.708 0.708 0.079 1
Cd8 Cd 0.921 0.292 0.292 1
Au1 Au 0.000 0.000 0.000 1

---

# 11
# LiCd12Au6 PBE optimized geometry
# Crystal system = trigonal
# DFT total energy = -1.898 eV/atom
# Distance to the lowest polymorph of the same formula = 0 meV per atom
data_LiCd12Au6
_cell_length_a 7.255
_cell_length_b 7.255
_cell_length_c 7.255
_cell_angle_alpha 88.88
_cell_angle_beta 88.88
_cell_angle_gamma 88.88
_space_group_name_H-M_alt 'P 1'
_space_group_IT_number 1
loop_
_space_group_symop_operation_xyz
'x,y,z'
loop_
_atom_site_label
_atom_site_type_symbol
_atom_site_fract_x
_atom_site_fract_y
_atom_site_fract_z
_atom_site_occupancy
Li1 Li 0.000 0.000 0.000 1
Cd1 Cd 0.037 0.369 0.148 1
Cd2 Cd 0.148 0.037 0.369 1
Cd3 Cd 0.197 0.568 0.471 1
Cd4 Cd 0.369 0.148 0.037 1
Cd5 Cd 0.432 0.529 0.803 1
Cd6 Cd 0.471 0.197 0.568 1
Cd7 Cd 0.529 0.803 0.432 1
Cd8 Cd 0.568 0.471 0.197 1
Cd9 Cd 0.631 0.852 0.963 1
Cd10 Cd 0.803 0.432 0.529 1
Cd11 Cd 0.852 0.963 0.631 1
Cd12 Cd 0.963 0.631 0.852 1
Au1 Au 0.113 0.272 0.739 1
Au2 Au 0.261 0.887 0.728 1
Au3 Au 0.272 0.739 0.113 1
Au4 Au 0.728 0.261 0.887 1
Au5 Au 0.739 0.113 0.272 1
Au6 Au 0.887 0.728 0.261 1

---

# 12
# LiCd2Au6 PBE optimized geometry
# Crystal system = tetragonal
# DFT total energy = -2.828 eV/atom
# Distance to the lowest polymorph of the same formula = 0 meV per atom
data_LiCd2Au6
_cell_length_a 8.780
_cell_length_b 8.780
_cell_length_c 4.236
_cell_angle_alpha 90.00
_cell_angle_beta 90.00
_cell_angle_gamma 90.00
_space_group_name_H-M_alt 'P 1'
_space_group_IT_number 1
loop_
_space_group_symop_operation_xyz
'x,y,z'
loop_
_atom_site_label
_atom_site_type_symbol
_atom_site_fract_x
_atom_site_fract_y
_atom_site_fract_z
_atom_site_occupancy
Li1 Li 0.000 0.000 0.000 1
Li2 Li 0.500 0.500 0.500 1
Cd1 Cd 0.170 0.170 0.500 1
Cd2 Cd 0.330 0.670 0.000 1
Cd3 Cd 0.670 0.330 0.000 1
Cd4 Cd 0.830 0.830 0.500 1
Au1 Au 0.002 0.328 0.000 1
Au2 Au 0.157 0.843 0.500 1
Au3 Au 0.172 0.502 0.500 1
Au4 Au 0.328 0.002 0.000 1
Au5 Au 0.343 0.343 0.000 1
Au6 Au 0.498 0.828 0.500 1
Au7 Au 0.502 0.172 0.500 1
Au8 Au 0.657 0.657 0.000 1
Au9 Au 0.672 0.998 0.000 1
Au10 Au 0.828 0.498 0.500 1
Au11 Au 0.843 0.157 0.500 1
Au12 Au 0.998 0.672 0.000 1

---

Number 1: energy of formation from the pure elements -1.86 eV per formula unit. Number 2: energy of formation from the pure elements -2.63 eV per formula unit. Number 3: energy of formation from the pure elements -3.88 eV per formula unit. Number 4: energy of formation from the pure elements -1.01 eV per formula unit. Number 5: energy of formation from the pure elements -2.73 eV per formula unit. Number 6: energy of formation from the pure elements -0.92 eV per formula unit. Number 7: energy of formation from the pure elements -0.77 eV per formula unit. Number 8: energy of formation from the pure elements -2.38 eV per formula unit. Number 9: energy of formation from the pure elements -2.58 eV per formula unit. Number 10: energy of formation from the pure elements -2.37 eV per formula unit. Number 11: energy of formation from the pure elements -3.50 eV per formula unit. Number 12: energy of formation from the pure elements -2.05 eV per formula unit.